# YPWO2 PBE with a Hubbard U relaxed
# Energy above the most stable polymorph in this dataset   0.0 meV per atom
# SG   P4/mmm (123)
# M_tot   1.970 μB per formula unit
data_YPWO2
_chemical_formula_sum 'Y1 P1 W1 O2'
_cell_length_a 4.038
_cell_length_b 4.038
_cell_length_c 5.146
_cell_angle_alpha 90.00
_cell_angle_beta 90.00
_cell_angle_gamma 90.00
_space_group_name_H-M_alt 'P 1'
_space_group_IT_number 1
_space_group_name_Hall 'P 1'
loop_
_atom_site_label
_atom_site_type_symbol
_atom_site_fract_x
_atom_site_fract_y
_atom_site_fract_z
Y1 Y 0.000 0.000 0.000
P1 P 0.500 0.500 0.000
W1 W 0.500 0.500 0.500
O1 O 0.000 0.500 0.500
O2 O 0.500 0.000 0.500